No. 1
# Sr2SmInHg6 PBE optimized geometry
data_Sr2SmInHg6
_symmetry_space_group_name_H-M 'F m -3 m'
_symmetry_Int_Tables_number 225
_symmetry_space_group_name_Hall '-F 4 2 3'
_cell_length_a 11.380
_cell_length_b 11.380
_cell_length_c 11.380
_cell_angle_alpha 90.00
_cell_angle_beta 90.00
_cell_angle_gamma 90.00
loop_
_atom_site_label
_atom_site_type_symbol
_atom_site_fract_x
_atom_site_fract_y
_atom_site_fract_z
_atom_site_occupancy
Sr1 Sr 0.250 0.250 0.250 1
Sm1 Sm 0.000 0.000 0.000 1
In1 In 0.000 0.000 0.500 1
Hg1 Hg 0.000 0.000 0.256 1
# uncorrected energy: -1.353 eV per atom
# Fermi-level density of states: 10.28 states/eV/f.u.

---

No. 2
# SrSm2In2Hg2 PBE optimized geometry
data_SrSm2In2Hg2
_symmetry_space_group_name_H-M 'R -3 m'
_symmetry_Int_Tables_number 166
_symmetry_space_group_name_Hall '-R 3 2"'
_cell_length_a 4.9906
_cell_length_b 4.9906
_cell_length_c 29.3548
_cell_angle_alpha 90.00
_cell_angle_beta 90.00
_cell_angle_gamma 120.00
loop_
_atom_site_label
_atom_site_type_symbol
_atom_site_fract_x
_atom_site_fract_y
_atom_site_fract_z
_atom_site_occupancy
Sr1 Sr 0.0000 0.0000 0.0000 1
Sm1 Sm 0.0000 0.0000 0.1294 1
In1 In 0.0000 0.0000 0.2514 1
Hg1 Hg 0.0000 0.0000 0.4096 1
# uncorrected energy: -2.807 eV per atom
# Fermi-level density of states: 3.09 states/eV/f.u.

---

No. 3
# TbSm2In2Hg2 PBE optimized geometry
data_TbSm2In2Hg2
_symmetry_space_group_name_H-M 'R -3 m'
_symmetry_Int_Tables_number 166
_symmetry_space_group_name_Hall '-R 3 2"'
_cell_length_a 4.9536
_cell_length_b 4.9536
_cell_length_c 27.1356
_cell_angle_alpha 90.00
_cell_angle_beta 90.00
_cell_angle_gamma 120.00
loop_
_atom_site_label
_atom_site_type_symbol
_atom_site_fract_x
_atom_site_fract_y
_atom_site_fract_z
_atom_site_occupancy
Tb1 Tb 0.0000 0.0000 0.0000 1
Sm1 Sm 0.0000 0.0000 0.1293 1
In1 In 0.0000 0.0000 0.2701 1
Hg1 Hg 0.0000 0.0000 0.4167 1
# uncorrected energy: -3.155 eV per atom
# Fermi-level density of states: 3.89 states/eV/f.u.